i.
Computed, not measured: a relaxed SbTe2WBr crystal at the PBE level of DFT.

- D(E_F): 0.75 states/eV per atom
- Total magnetization: 0.0 μB per formula unit

a b c (Å): 5.238 5.238 5.415
angles (deg): 90.00 90.00 90.00
Positions (direct):
Sb 0.000 0.000 0.500
Br 0.500 0.500 0.500
Te 0.000 0.500 0.000
Te 0.500 0.000 0.000
W 0.000 0.000 0.000

ii.
Computed, not measured: a relaxed SbTe2WBr crystal at the PBE level of DFT.

- D(E_F): 0.89 states/eV per atom
- Total magnetization: 2.5 μB per formula unit

a b c (Å): 5.526 5.526 5.361
angles (deg): 90.00 90.00 90.00
Site moments in Bohr magnetons follow the coordinates.
Positions (direct):
Sb 0.000 0.000 0.500  -0.26
Te 0.500 0.000 0.000  -0.28
Te 0.000 0.500 0.000  -0.28
W 0.500 0.500 0.500  3.07
Br 0.000 0.000 0.000  -0.10

Which structure is the most stable? The one labeled i.

i.
Computed, not measured: a relaxed ZrSbTe2Br crystal at the PBE level of DFT.

- D(E_F): 1.44 states/eV per atom
- Total magnetization: 0.0 μB per formula unit

a b c (Å): 5.488 5.488 5.330
angles (deg): 90.00 90.00 90.00
Positions (direct):
Sb 0.000 0.000 0.500
Zr 0.500 0.500 0.500
Te 0.000 0.500 0.000
Te 0.500 0.000 0.000
Br 0.000 0.000 0.000

ii.
Computed, not measured: a relaxed ZrSbTe2Br crystal at the PBE level of DFT.

- D(E_F): 1.09 states/eV per atom
- Total magnetization: 0.0 μB per formula unit

a b c (Å): 5.503 5.503 5.736
angles (deg): 90.00 90.00 90.00
Positions (direct):
Zr 0.000 0.000 0.000
Br 0.500 0.500 0.500
Sb 0.000 0.000 0.500
Te 0.000 0.500 0.000
Te 0.500 0.000 0.000

Which structure is the most stable? The one labeled ii.